Here is a geometry-optimized Na2CrSe2O6 structure from Alexandria. Energies are from PBE+U.

It has space group C2/m (No. 12), with a = 11.510 Å, b = 5.433 Å, c = 5.910 Å, α = 90.00°, β = 120.73° and γ = 90.00°. The asymmetric unit holds Na at (0.221, 0.000, 0.256), Cr at (0.000, 0.000, 0.500), Se at (0.025, 0.500, 0.809), O at (0.084, 0.261, 0.371) and O at (0.156, 0.000, 0.816).

Its density of states at the Fermi level is 4.16 states/eV/cell. The total energy comes out at -5.350 eV/atom.